No. 1
First-principles (GGA-PBE) data for ZrPtRh after structural relaxation, as listed in Alexandria via LeMat-Bulk.

Unit cell a=5.165 b=5.165 c=5.165 alpha=141.92 beta=141.92 gamma=54.95
Element x y z (fractional)
Zr1 0.000 0.000 0.000
Pt1 0.663 0.663 0.000
Rh1 0.346 0.346 0.000

Calculated values
DFT formation energy = -734 meV per atom
V = 52.1 Å³ per cell
E above lowest polymorph = 147 meV per atom
Space-group type = I4mm, No. 107
Mass density = 12416 kg/m3
DOS at the Fermi energy = 3.056 states/eV per cell
M_tot = 0.0 μB/f.u.



No. 2
First-principles (GGA-PBE) data for Y2ScCd2 after structural relaxation, as listed in Alexandria via LeMat-Bulk.

Unit cell a=8.339 b=8.339 c=3.881 alpha=90.00 beta=90.00 gamma=90.00
Element x y z (fractional)
Y1 0.172 0.328 0.000
Y2 0.328 0.828 0.000
Y3 0.672 0.172 0.000
Y4 0.828 0.672 0.000
Sc1 0.000 0.000 0.500
Sc2 0.500 0.500 0.500
Cd1 0.128 0.628 0.500
Cd2 0.372 0.128 0.500
Cd3 0.628 0.872 0.500
Cd4 0.872 0.372 0.500

Calculated values
DFT formation energy = -186 meV per atom
V = 269.9 Å³ per cell
E above lowest polymorph = 49 meV per atom
Space-group type = P4/mbm, No. 127
Mass density = 5508 kg/m3
DOS at the Fermi energy = 9.559 states/eV per cell
M_tot = 0.0 μB/f.u.



No. 3
First-principles (GGA-PBE) data for RbInHg2Bi2 after structural relaxation, as listed in Alexandria via LeMat-Bulk.

Unit cell a=5.085 b=5.085 c=9.615 alpha=90.00 beta=90.00 gamma=120.00
Element x y z (fractional)
Rb1 0.000 0.000 0.000
In1 0.000 0.000 0.500
Hg1 0.333 0.667 0.747
Hg2 0.667 0.333 0.253
Bi1 0.333 0.667 0.305
Bi2 0.667 0.333 0.695

Calculated values
DFT formation energy = -84 meV per atom
V = 215.3 Å³ per cell
Space-group type = P-3m1, No. 164
Mass density = 7862 kg/m3
DOS at the Fermi energy = 2.034 states/eV per cell
M_tot = 0.0 μB/f.u.



No. 4
First-principles (GGA-PBE) data for Na2GeS after structural relaxation, as listed in Alexandria via LeMat-Bulk.

Unit cell a=6.387 b=6.387 c=6.387 alpha=101.00 beta=101.00 gamma=128.19
Element x y z (fractional)
Na1 0.073 0.125 0.448
Na2 0.375 0.927 0.052
Na3 0.677 0.625 0.552
Na4 0.875 0.323 0.948
Ge1 0.250 0.750 0.500
Ge2 0.500 0.500 0.000
S1 0.000 0.000 0.000
S2 0.750 0.250 0.500

Calculated values
Formation energy (no corrections) = -206 meV/atom
V = 184.2 Å³ per cell
E above lowest polymorph = 0 meV per atom
Space-group type = I-42d, No. 122
Mass density = 2716 kg/m3
DOS at the Fermi energy = 4.060 states/eV per cell
M_tot = 0.0 μB/f.u.



No. 5
First-principles (GGA-PBE) data for MgScAs3 after structural relaxation, as listed in Alexandria via LeMat-Bulk.

Unit cell a=5.077 b=5.077 c=5.077 alpha=90.00 beta=90.00 gamma=90.00
Element x y z (fractional)
Mg1 0.000 0.000 0.000
Sc1 0.500 0.500 0.500
As1 0.000 0.500 0.500
As2 0.500 0.000 0.500
As3 0.500 0.500 0.000

Calculated values
DFT formation energy = 75 meV per atom
V = 130.9 Å³ per cell
E above lowest polymorph = 0 meV per atom
Space-group type = Pm-3m, No. 221
Mass density = 3731 kg/m3
DOS at the Fermi energy = 3.757 states/eV per cell
M_tot = 0.0 μB/f.u.



No. 6
First-principles (GGA-PBE) data for Sb2OsPt after structural relaxation, as listed in Alexandria via LeMat-Bulk.

Unit cell a=4.445 b=3.352 c=5.554 alpha=90.00 beta=112.10 gamma=90.00
Element x y z (fractional)
Sb1 0.000 0.000 0.000
Sb2 0.500 0.500 0.500
Os1 0.000 0.000 0.500
Pt1 0.500 0.500 0.000

Calculated values
Formation energy (no corrections) = 305 meV/atom
V = 76.7 Å³ per cell
E above lowest polymorph = 202 meV per atom
Space-group type = P2/m, No. 10
Mass density = 13618 kg/m3
DOS at the Fermi energy = 2.712 states/eV per cell
M_tot = 0.0 μB/f.u.



No. 7
First-principles (GGA-PBE) data for FeHg2Se2 after structural relaxation, as listed in Alexandria via LeMat-Bulk.

Unit cell a=5.940 b=5.940 c=7.044 alpha=90.00 beta=90.00 gamma=90.00
Element x y z (fractional)
Fe1 0.000 0.000 0.000
Fe2 0.500 0.500 0.000
Hg1 0.237 0.263 0.500
Hg2 0.263 0.763 0.500
Hg3 0.737 0.237 0.500
Hg4 0.763 0.737 0.500
Se1 0.150 0.350 0.000
Se2 0.350 0.850 0.000
Se3 0.650 0.150 0.000
Se4 0.850 0.650 0.000

Calculated values
Formation energy (no corrections) = 85 meV/atom
V = 248.5 Å³ per cell
E above lowest polymorph = 0 meV per atom
Space-group type = P4/mbm, No. 127
Mass density = 8219 kg/m3
DOS at the Fermi energy = 7.857 states/eV per cell
M_tot = 0.0 μB/f.u.



No. 8
First-principles (GGA-PBE) data for LiPbCl after structural relaxation, as listed in Alexandria via LeMat-Bulk.

Unit cell a=3.549 b=3.549 c=7.473 alpha=90.00 beta=90.00 gamma=120.00
Element x y z (fractional)
Li1 0.000 0.000 0.000
Pb1 0.667 0.333 0.438
Cl1 0.333 0.667 0.878

Calculated values
Formation energy (no corrections) = -876 meV/atom
V = 81.5 Å³ per cell
E above lowest polymorph = 0 meV per atom
Space-group type = P3m1, No. 156
Mass density = 5083 kg/m3
DOS at the Fermi energy = 0.712 states/eV per cell
M_tot = 0.0 μB/f.u.